The following is a PBE-GGA calculation of an optimized crystal structure of Co2WI2, from OQMD via LeMat-Bulk.

Lattice parameters (Å, degrees): 11.275 11.285 3.188 90.00 90.00 90.00
Space group Cmmm (No. 65)
Symmetry-distinct sites (fractional):
Co 0.000 0.115 0.000 [4 per cell]
Co 0.115 0.500 0.000 [4 per cell]
W 0.250 0.250 0.500 [4 per cell]
I 0.000 0.322 0.000 [4 per cell]
I 0.178 0.000 0.000 [4 per cell]

Output
Total magnetic moment = 3.3 μB per formula unit
Calculated total energy = -4.312 eV/atom